Computed, not measured: a geometry-optimized InIrSe2 structure at the GGA-PBE level of DFT.

Structure (POSCAR):
```
InIrSe2
1.0
6.317 -4.981 1.833
5.488 -5.898 -1.780
7.671 -2.856 -1.035
Ir Se In
1 2 1
direct
0.000 0.000 0.000
0.098 0.098 0.098
0.902 0.902 0.902
0.500 0.500 0.500
```

M_tot: 0.41 μB/f.u.
formation energy without anion corrections: 0.3983 eV/atom
DFT total energy: -4.244 eV per atom

Computed, not measured: a geometry-optimized TbNdHo2Sc2 structure at the GGA-PBE level of DFT.

Structure (POSCAR):
```
TbNdHo2Sc2
1.0
-5.349 -0.138 -1.230
1.327 -8.092 -4.866
-1.201 -3.580 5.625
Ho Sc Nd Tb
4 4 2 2
direct
0.000 0.333 0.248
0.000 0.667 0.752
0.500 0.167 0.748
0.500 0.833 0.252
0.500 0.167 0.250
0.000 0.333 0.750
0.500 0.833 0.750
0.000 0.667 0.250
0.500 0.500 0.500
0.000 0.000 0.000
0.000 0.000 0.500
0.500 0.500 0.000
```

M_tot: 0.00 μB/f.u.
DFT total energy: -5.124 eV per atom

Computed, not measured: a geometry-optimized Ba2InH6Pt structure at the GGA-PBE level of DFT.

Structure (POSCAR):
```
Ba2InH6Pt
1.0
-1.561 4.321 -3.747
2.623 -2.916 -4.446
-3.142 -1.341 -4.931
H Ba Pt In
6 2 1 1
direct
0.708 0.292 0.000
0.296 0.296 0.409
0.291 0.291 0.001
0.292 0.708 0.000
0.709 0.709 0.999
0.704 0.704 0.591
0.250 0.750 0.500
0.750 0.250 0.500
0.500 0.500 0.000
0.000 0.000 0.000
```

M_tot: 0.00 μB/f.u.
DFT total energy: -3.657 eV per atom

Computed, not measured: a geometry-optimized Y5Hf3N8 structure at the GGA-PBE level of DFT.

Structure (POSCAR):
```
Y5Hf3N8
1.0
-0.478 -5.470 -3.847
5.447 -2.434 -3.058
2.701 -5.815 2.090
N Y Hf
8 5 3
direct
0.231 0.750 0.269
0.250 0.769 0.731
0.250 0.250 0.731
0.750 0.231 0.269
0.750 0.750 0.269
0.758 0.758 0.725
0.242 0.242 0.275
0.769 0.250 0.731
0.000 0.000 0.000
0.000 0.500 0.000
0.500 0.000 0.000
0.500 0.500 0.000
0.500 0.500 0.500
0.500 0.000 0.500
0.000 0.500 0.500
0.000 0.000 0.500
```

M_tot: 0.00 μB/f.u.
formation energy without anion corrections: -1.7604 eV/atom
DFT total energy: -9.809 eV per atom

Computed, not measured: a geometry-optimized Er5GeTe2 structure at the GGA-PBE level of DFT.

Structure (POSCAR):
```
Er5GeTe2
1.0
5.904 0.000 0.000
-2.952 6.088 0.000
0.000 0.000 13.473
Ge Er Te
2 10 4
direct
0.233 0.465 0.250
0.767 0.535 0.750
0.334 0.668 0.750
0.615 0.230 0.907
0.666 0.332 0.250
0.946 0.891 0.878
0.946 0.891 0.622
0.615 0.230 0.593
0.054 0.109 0.378
0.385 0.770 0.407
0.054 0.109 0.122
0.385 0.770 0.093
0.190 0.381 0.936
0.810 0.619 0.436
0.810 0.619 0.064
0.190 0.381 0.564
```

M_tot: 0.00 μB/f.u.
formation energy without anion corrections: -0.6374 eV/atom
DFT total energy: -4.852 eV per atom

Computed, not measured: a geometry-optimized Pr2HgSb3Pt4 structure at the GGA-PBE level of DFT.

Structure (POSCAR):
```
Pr2HgSb3Pt4
1.0
-3.015 -1.607 2.993
-2.678 -1.338 -3.416
5.097 -9.835 -0.145
Pt Hg Sb Pr
4 1 3 2
direct
0.500 0.500 0.000
0.000 0.500 0.360
0.000 0.000 0.000
0.500 0.000 0.640
0.500 0.500 0.500
0.500 0.000 0.871
0.000 0.000 0.500
0.000 0.500 0.129
0.000 0.500 0.762
0.500 0.000 0.238
```

M_tot: 0.00 μB/f.u.
formation energy without anion corrections: -0.7594 eV/atom
DFT total energy: -5.398 eV per atom

Computed, not measured: a geometry-optimized ZrTl2Bi2O6 structure at the GGA-PBE level of DFT.

Structure (POSCAR):
```
ZrTl2Bi2O6
1.0
-4.912 -2.244 2.754
4.445 -3.578 -1.660
2.873 2.400 7.081
O Tl Bi Zr
6 2 2 1
direct
0.239 0.983 0.682
0.713 0.426 0.565
0.287 0.574 0.435
0.744 0.983 0.682
0.761 0.017 0.318
0.256 0.017 0.318
0.795 0.591 0.284
0.205 0.409 0.716
0.877 0.753 0.769
0.123 0.247 0.231
0.500 0.000 0.500
```

M_tot: 0.00 μB/f.u.
formation energy without anion corrections: -1.5197 eV/atom
DFT total energy: -6.137 eV per atom

Computed, not measured: a geometry-optimized InTeSe2 structure at the GGA-PBE level of DFT.

Structure (POSCAR):
```
InTeSe2
1.0
-3.737 2.638 -2.346
-2.551 -2.104 -3.936
-4.906 -1.422 0.583
In Se Te
1 2 1
direct
0.500 0.500 0.500
0.000 0.000 0.000
0.250 0.250 0.250
0.750 0.750 0.750
```

energy above the most stable polymorph in this dataset: 178 kJ/mol of formula units
M_tot: 0.00 μB/f.u.
formation energy without anion corrections: 0.2432 eV/atom
DFT total energy: -2.969 eV per atom

Computed, not measured: a geometry-optimized Ho2H4Ir structure at the GGA-PBE level of DFT.

Structure (POSCAR):
```
Ho2H4Ir
1.0
-0.729 -3.560 0.341
3.453 -0.610 1.011
-0.210 -1.198 6.583
Ir H Ho
1 4 2
direct
0.000 0.000 0.000
0.144 0.144 0.711
0.000 0.500 0.000
0.500 0.000 0.000
0.856 0.856 0.289
0.351 0.351 0.298
0.649 0.649 0.702
```

M_tot: 0.88 μB/f.u.
DFT total energy: -4.907 eV per atom

Computed, not measured: a geometry-optimized ZnCoRu structure at the GGA-PBE level of DFT.

Structure (POSCAR):
```
ZnCoRu
1.0
-3.433 -0.968 5.818
-4.887 -2.061 3.929
1.450 -1.651 1.430
Ru Zn Co
1 1 1
direct
0.338 0.338 0.662
0.663 0.663 0.337
0.999 0.999 0.001
```

energy above the most stable polymorph in this dataset: 48 kJ/mol of formula units
M_tot: 2.28 μB/f.u.
DFT total energy: -5.677 eV per atom

Computed, not measured: a geometry-optimized Ac4Tl2Ag structure at the GGA-PBE level of DFT.

Structure (POSCAR):
```
Ac4Tl2Ag
1.0
-3.977 0.692 0.199
-0.075 -2.488 7.157
3.579 9.049 -0.974
Ac Tl Ag
4 2 1
direct
0.630 0.311 0.260
0.911 0.260 0.821
0.089 0.740 0.179
0.370 0.689 0.740
0.747 0.817 0.494
0.253 0.183 0.506
0.000 0.000 0.000
```

energy above the most stable polymorph in this dataset: 43 kJ/mol of formula units
M_tot: 0.00 μB/f.u.
DFT total energy: -3.577 eV per atom

Computed, not measured: a geometry-optimized LiSmTcN3 structure at the GGA-PBE level of DFT.

Structure (POSCAR):
```
LiSmTcN3
1.0
3.360 0.000 0.000
-1.680 5.738 0.000
0.000 0.000 8.015
Li N Tc Sm
2 6 2 2
direct
0.000 0.000 0.000
0.000 0.000 0.500
0.354 0.709 0.565
0.646 0.291 0.435
0.354 0.709 0.935
0.047 0.094 0.750
0.646 0.291 0.065
0.953 0.906 0.250
0.557 0.115 0.250
0.443 0.885 0.750
0.297 0.594 0.250
0.703 0.406 0.750
```

M_tot: 0.00 μB/f.u.
formation energy without anion corrections: -0.5451 eV/atom
DFT total energy: -7.541 eV per atom

Computed, not measured: a geometry-optimized Tl2CuAgAs2 structure at the GGA-PBE level of DFT.

Structure (POSCAR):
```
Tl2CuAgAs2
1.0
5.875 0.000 0.000
0.000 5.846 0.000
-2.937 -2.923 8.330
Cu Tl Ag As
2 4 2 4
direct
0.500 0.750 0.000
0.500 0.250 0.000
0.057 0.327 0.653
0.596 0.827 0.653
0.404 0.173 0.347
0.943 0.673 0.347
0.000 0.750 0.000
0.000 0.250 0.000
0.619 0.405 0.810
0.192 0.905 0.810
0.808 0.095 0.190
0.381 0.595 0.190
```

M_tot: 0.00 μB/f.u.
DFT total energy: -3.456 eV per atom

Computed, not measured: a geometry-optimized MgTaFeOs structure at the GGA-PBE level of DFT.

Structure (POSCAR):
```
MgTaFeOs
1.0
4.378 0.000 0.000
2.189 3.791 0.000
2.189 1.264 3.575
Fe Ta Mg Os
1 1 1 1
direct
0.250 0.250 0.250
0.000 0.000 0.000
0.500 0.500 0.500
0.750 0.750 0.750
```

M_tot: 0.74 μB/f.u.
DFT total energy: -8.366 eV per atom

Computed, not measured: a geometry-optimized Mn2AlMo2 structure at the GGA-PBE level of DFT.

Structure (POSCAR):
```
Mn2AlMo2
1.0
6.940 0.000 0.000
0.000 6.940 0.000
0.000 0.000 2.922
Al Mo Mn
2 4 4
direct
0.000 0.000 0.000
0.500 0.500 0.000
0.669 0.831 0.500
0.169 0.669 0.500
0.331 0.169 0.500
0.831 0.331 0.500
0.633 0.133 0.000
0.367 0.867 0.000
0.867 0.633 0.000
0.133 0.367 0.000
```

M_tot: 0.39 μB/f.u.
DFT total energy: -8.605 eV per atom

Computed, not measured: a geometry-optimized AcGd2Lu structure at the GGA-PBE level of DFT.

Structure (POSCAR):
```
AcGd2Lu
1.0
5.180 0.000 0.000
0.000 5.161 0.000
0.000 0.000 5.161
Lu Gd Ac
1 2 1
direct
0.500 0.500 0.500
0.000 0.000 0.500
0.000 0.500 0.000
0.500 0.000 0.000
```

energy above the most stable polymorph in this dataset: 0 kJ/mol of formula units
M_tot: 15.08 μB/f.u.
DFT total energy: -9.147 eV per atom

Computed, not measured: a geometry-optimized NaGa2Ni structure at the GGA-PBE level of DFT.

Structure (POSCAR):
```
NaGa2Ni
1.0
3.006 0.000 0.000
0.000 3.006 0.000
0.000 0.000 7.553
Ga Na Ni
2 1 1
direct
0.000 0.000 0.188
0.000 0.000 0.812
0.500 0.500 0.500
0.500 0.500 0.000
```

M_tot: 0.00 μB/f.u.
DFT total energy: -3.457 eV per atom

Computed, not measured: a geometry-optimized BeZn2Hg structure at the GGA-PBE level of DFT.

Structure (POSCAR):
```
BeZn2Hg
1.0
-2.213 -2.770 2.678
-2.606 -3.155 -1.731
1.204 -4.268 0.265
Zn Hg Be
2 1 1
direct
0.000 0.000 0.000
0.750 0.750 0.750
0.250 0.250 0.250
0.500 0.500 0.500
```

energy above the most stable polymorph in this dataset: 63 kJ/mol of formula units
M_tot: 0.00 μB/f.u.
DFT total energy: -1.265 eV per atom

Computed, not measured: a geometry-optimized SmAg3Pt8 structure at the GGA-PBE level of DFT.

Structure (POSCAR):
```
SmAg3Pt8
1.0
-1.304 4.241 -2.987
-5.042 0.651 -1.663
-3.917 6.177 5.691
Ag Pt Sm
3 8 1
direct
0.004 0.004 0.987
0.492 0.492 0.524
0.374 0.374 0.879
0.688 0.688 0.936
0.439 0.938 0.185
0.438 0.938 0.687
0.188 0.188 0.436
0.938 0.438 0.687
0.439 0.439 0.185
0.938 0.439 0.185
0.938 0.938 0.687
0.876 0.876 0.373
```

M_tot: 0.00 μB/f.u.
DFT total energy: -5.473 eV per atom

Computed, not measured: a geometry-optimized Tl2Ga2Ag structure at the GGA-PBE level of DFT.

Structure (POSCAR):
```
Tl2Ga2Ag
1.0
-2.093 -0.838 2.996
-2.996 -0.430 -2.213
-0.597 -9.074 -0.607
Ga Tl Ag
2 2 1
direct
0.750 0.250 0.500
0.250 0.750 0.500
0.402 0.402 0.196
0.598 0.598 0.804
0.000 0.000 0.000
```

energy above the most stable polymorph in this dataset: 34 kJ/mol of formula units
M_tot: 0.00 μB/f.u.
DFT total energy: -2.579 eV per atom